# PBE TaTl2P, relaxed
# - ΔE to the lowest computed polymorph (eV/f.u.) = 2.843
# - density of states at the Fermi level (states/eV/cell) = 2.189
# - total DFT energy (no corrections) (eV per cell) = -19.18
# - crystal system = tetragonal
# - theoretical density (Mg/m³) = 12.0
# - ΔH_f (0 K) (meV per atom) = 703
data_TaTl2P
_cell_length_a 3.981
_cell_length_b 3.981
_cell_length_c 5.434
_cell_angle_alpha 90.00
_cell_angle_beta 90.00
_cell_angle_gamma 90.00
_space_group_name_H-M_alt 'P 1'
_space_group_IT_number 1
loop_
_space_group_symop_operation_xyz
'x,y,z'
loop_
_atom_site_label
_atom_site_type_symbol
_atom_site_fract_x
_atom_site_fract_y
_atom_site_fract_z
Ta1 Ta 0.500 0.500 0.500
Tl1 Tl 0.000 0.000 0.250
Tl2 Tl 0.000 0.000 0.750
P1 P 0.500 0.500 0.000

---

# PBE Ta4TlP, relaxed
# - density of states at the Fermi level (states/eV/cell) = 3.848
# - total DFT energy (no corrections) (eV per cell) = -51.10
# - crystal system = cubic
# - theoretical density (Mg/m³) = 13.3
# - ΔH_f (0 K) (meV per atom) = 681
data_Ta4TlP
_cell_length_a 5.528
_cell_length_b 5.528
_cell_length_c 5.528
_cell_angle_alpha 60.00
_cell_angle_beta 60.00
_cell_angle_gamma 60.00
_space_group_name_H-M_alt 'P 1'
_space_group_IT_number 1
loop_
_space_group_symop_operation_xyz
'x,y,z'
loop_
_atom_site_label
_atom_site_type_symbol
_atom_site_fract_x
_atom_site_fract_y
_atom_site_fract_z
Ta1 Ta 0.873 0.376 0.376
Ta2 Ta 0.376 0.376 0.873
Ta3 Ta 0.376 0.873 0.376
Ta4 Ta 0.376 0.376 0.376
P1 P 0.000 0.000 0.000
Tl1 Tl 0.750 0.750 0.750

---

We obtain total magnetization values of 0.0 0.0 μB per cell for the records listed above, in that order.